Record 1
First-principles (PBE-GGA) data for crystalline ZnPIr2 at its relaxed geometry, as listed in the Alexandria database.

Energy relative to the lowest polymorph listed for this composition in eV per atom: 0.2171
Magnetic moment in μB per cell: 0.00

Lattice parameters (Å, degrees): 3.169 3.169 5.753 90.00 90.00 90.00
Space group P4mm (No. 99)
Symmetry-distinct sites (fractional):
Zn 0.000 0.000 0.000 x1
P 0.500 0.500 0.697 x1
Ir 0.000 0.000 0.541 x1
Ir 0.500 0.500 0.226 x1

=====

Record 2
First-principles (PBE-GGA) data for crystalline ZnP2Ir at its relaxed geometry, as listed in the Alexandria database.

Total energy in eV/atom: -4.979
Magnetic moment in μB per cell: 0.00

Lattice parameters (Å, degrees): 2.747 4.839 9.494 90.00 90.00 90.00
Space group Cmm2 (No. 35)
Symmetry-distinct sites (fractional):
Zn 0.000 0.000 0.000 x2
P 0.000 0.000 0.447 x2
P 0.000 0.500 0.770 x2
Ir 0.000 0.500 0.241 x2

=====

Record 3
First-principles (PBE-GGA) data for crystalline ZnPIr2 at its relaxed geometry, as listed in the Alexandria database.

Energy relative to the lowest polymorph listed for this composition in eV per atom: 0.0849
Magnetic moment in μB per cell: 0.00

Lattice parameters (Å, degrees): 2.887 4.396 4.760 90.00 107.47 90.00
Space group Pm (No. 6)
Symmetry-distinct sites (fractional):
Zn 0.000 0.000 0.000 x1
P 0.359 0.500 0.710 x1
Ir 0.270 0.000 0.536 x1
Ir 0.630 0.500 0.252 x1

=====

Record 4
First-principles (PBE-GGA) data for crystalline ZnPIr2 at its relaxed geometry, as listed in the Alexandria database.

Energy relative to the lowest polymorph listed for this composition in eV per atom: 0.0621
Magnetic moment in μB per cell: 0.00

Lattice parameters (Å, degrees): 2.956 3.590 5.642 90.00 90.00 90.00
Space group Pmmm (No. 47)
Symmetry-distinct sites (fractional):
Zn 0.000 0.000 0.000 x1
P 0.500 0.000 0.500 x1
Ir 0.500 0.500 0.247 x2